Ac2Cu2Au15, optimized geometry, DFT GGA-PBE; volume = 20.4 Å³ per atom; uncorrected energy = -3.730 eV per atom
1.0
-6.8497 0.5706 -2.6378
-3.5912 -2.7419 5.8127
-1.8267 6.3726 3.2023
Au Cu Ac
15 2 2
direct
0.3521 0.8458 0.3521
0.2965 0.7035 0.0000
0.5000 0.0000 0.0000
0.2965 0.0000 0.7035
0.1542 0.6479 0.6479
0.3521 0.3521 0.8458
0.0000 0.0000 0.5000
0.7035 0.2965 0.0000
0.0000 0.2965 0.7035
0.8458 0.3521 0.3521
0.6479 0.6479 0.1542
0.0000 0.7035 0.2965
0.7035 0.0000 0.2965
0.6479 0.1542 0.6479
0.0000 0.5000 0.0000
0.9103 0.9103 0.9103
0.0897 0.0897 0.0897
0.3358 0.3358 0.3358
0.6642 0.6642 0.6642

---

AcCu5Au7, optimized geometry, DFT GGA-PBE; volume = 17.4 Å³ per atom; uncorrected energy = -3.901 eV per atom
1.0
4.9520 0.0000 2.0337
2.4786 6.5032 1.0104
0.0054 0.0140 7.0325
Cu Au Ac
5 7 1
direct
0.9995 0.5048 0.9939
0.9995 0.9939 0.5048
0.7339 0.7661 0.7661
0.5018 0.5048 0.9939
0.5018 0.9939 0.5048
0.3378 0.6622 0.6622
0.2734 0.2266 0.2266
0.9955 0.6595 0.3495
0.5049 0.7831 0.2071
0.9955 0.3495 0.6595
0.5049 0.2071 0.7831
0.6534 0.3466 0.3466
0.9980 0.0020 0.0020

---

AcCu8Au3, optimized geometry, DFT GGA-PBE; volume = 15.7 Å³ per atom; uncorrected energy = -3.956 eV per atom
1.0
5.0422 0.0000 0.0000
-2.5211 4.3667 0.0000
0.0000 0.0000 8.5827
Au Cu Ac
3 8 1
direct
0.6667 0.3333 0.3912
0.6667 0.3333 0.0526
0.0000 0.0000 0.9550
0.1664 0.8336 0.2384
0.3333 0.6667 0.4910
0.3333 0.6667 0.0036
0.1664 0.3329 0.2384
0.6671 0.8336 0.2384
0.9974 0.4987 0.7745
0.5013 0.0026 0.7745
0.5013 0.4987 0.7745
0.0000 0.0000 0.5677

---

Ac8CuAu2, optimized geometry, DFT GGA-PBE; volume = 36.3 Å³ per atom; uncorrected energy = -4.210 eV per atom
1.0
5.5831 0.0000 0.0000
0.0000 7.4540 0.1543
-2.7915 -3.0309 9.5253
Ac Au Cu
8 2 1
direct
0.7988 0.6544 0.5976
0.5893 0.4579 0.1786
0.2012 0.3456 0.4024
0.6683 0.9904 0.3367
0.0275 0.7870 0.0550
0.3317 0.0096 0.6633
0.4107 0.5421 0.8214
0.9725 0.2130 0.9450
0.8217 0.2529 0.6433
0.1783 0.7471 0.3567
0.5000 0.0000 0.0000

---

Ac5Cu2Au, optimized geometry, DFT GGA-PBE; volume = 32.4 Å³ per atom; uncorrected energy = -4.224 eV per atom
1.0
7.0431 -0.0011 -3.3250
-1.5709 6.8654 -3.3258
0.4809 0.6039 10.1452
Ac Cu Au
10 4 2
direct
0.0222 0.5222 0.7029
0.5000 0.5000 0.0000
0.8194 0.9779 0.2971
0.1806 0.0221 0.7029
0.6807 0.1807 0.7030
0.0000 0.0000 0.0000
0.5222 0.6806 0.7029
0.3193 0.8193 0.2970
0.4778 0.3194 0.2971
0.9778 0.4778 0.2971
0.6147 0.1147 0.0001
0.1147 0.3853 0.0000
0.8853 0.6147 0.0000
0.3853 0.8853 0.9999
0.7500 0.7500 0.5000
0.2500 0.2500 0.5000

---

AcCuAu4, optimized geometry, DFT GGA-PBE; volume = 21.4 Å³ per atom; uncorrected energy = -3.875 eV per atom
1.0
5.6596 0.0000 0.0000
2.8298 4.9014 0.0000
2.8298 1.6338 4.6211
Au Cu Ac
4 1 1
direct
0.6260 0.6260 0.6260
0.6260 0.1219 0.6260
0.1219 0.6260 0.6260
0.6260 0.6260 0.1219
0.0000 0.0000 0.0000
0.2500 0.2500 0.2500